i) 4
Lattice="1.4909 -2.1786 0.0000 1.4909 2.1786 0.0000 0.0000 0.0000 9.2045" Properties=species:S:1:pos:R:3 comment="LiRe2Mo meta-GGA SCAN single point on PBEsol structure" spacegroup="Cmm2, No. 35" dos_ef_per_ev_fu=2.8 pbc="T T T"
Li 0.0000 0.0000 0.0000
Re 0.0000 0.0000 4.6807
Re 1.4909 0.0000 6.8970
Mo 1.4909 0.0000 2.4457

***

ii) 4
Lattice="0.0000 3.0350 3.0350 3.0350 0.0000 3.0350 3.0350 3.0350 0.0000" Properties=species:S:1:pos:R:3 comment="LiRe2Mo meta-GGA SCAN single point on PBEsol structure" spacegroup="F-43m, No. 216" dos_ef_per_ev_fu=2.5 pbc="T T T"
Li 0.0000 0.0000 0.0000
Re 1.5175 1.5175 1.5175
Re 3.0350 3.0350 3.0350
Mo 4.5524 4.5524 4.5524

***

ii) comes first in stability; the runner-up is 106 meV per atom higher.

***

i) 4
Lattice="0.0000 3.1123 3.1123 3.1123 0.0000 3.1123 3.1123 3.1123 0.0000" Properties=species:S:1:pos:R:3 comment="TcMo2W meta-GGA SCAN single point on PBEsol structure" spacegroup="F-43m, No. 216" dos_ef_per_ev_fu=3.1 pbc="T T T"
Tc 0.0000 0.0000 0.0000
Mo 1.5562 1.5562 1.5562
Mo 3.1123 3.1123 3.1123
W 4.6685 4.6685 4.6685

***

ii) 4
Lattice="2.7098 0.0000 0.0000 0.0000 4.3970 0.0000 -0.9341 0.0000 5.0665" Properties=species:S:1:pos:R:3 comment="TcMo2W meta-GGA SCAN single point on PBEsol structure" spacegroup="P2/m, No. 10" dos_ef_per_ev_fu=3.0 pbc="T T T"
Tc 0.0000 0.0000 0.0000
Mo -0.0056 2.1985 3.8034
Mo 1.7813 2.1985 1.2632
W 0.8879 0.0000 2.5333

***

i) comes first in stability; the runner-up is 17 meV per atom higher.

***

i) 2
Lattice="2.3993 -3.3701 0.0000 2.3993 3.3701 0.0000 0.0000 0.0000 6.7305" Properties=species:S:1:pos:R:3 comment="BaSr meta-GGA SCAN single point on PBEsol structure" spacegroup="Cmmm, No. 65" dos_ef_per_ev_fu=2.1 pbc="T T T"
Ba 0.0000 0.0000 0.0000
Sr 2.3993 0.0000 3.3652

***

ii) 4
Lattice="7.0305 0.0000 0.0000 0.0000 4.2478 0.0000 0.0000 0.0000 7.3974" Properties=species:S:1:pos:R:3 comment="BaSr meta-GGA SCAN single point on PBEsol structure" spacegroup="Pmma, No. 51" dos_ef_per_ev_fu=2.4 pbc="T T T"
Ba 1.7576 0.0000 1.2380
Ba 5.2729 0.0000 6.1595
Sr 1.7576 2.1239 4.9342
Sr 5.2729 2.1239 2.4633

***

i) comes first in stability; the runner-up is 7 meV per atom higher.

***

i) 4
Lattice="-2.1013 2.1013 5.1952 2.1013 -2.1013 5.1952 2.1013 2.1013 -5.1952" Properties=species:S:1:pos:R:3 comment="TaTl2Sb meta-GGA SCAN single point on PBEsol structure" spacegroup="I4/mmm, No. 139" dos_ef_per_ev_fu=2.8 pbc="T T T"
Ta 0.0000 0.0000 0.0000
Tl 2.1013 0.0000 2.5976
Tl 0.0000 2.1013 2.5976
Sb 0.0000 0.0000 5.1952

***

ii) 4
Lattice="-1.5550 2.2992 7.2297 1.5550 -2.2992 7.2297 1.5550 2.2992 -7.2297" Properties=species:S:1:pos:R:3 comment="TaTl2Sb meta-GGA SCAN single point on PBEsol structure" spacegroup="Immm, No. 71" dos_ef_per_ev_fu=2.8 pbc="T T T"
Ta 0.0000 0.0000 0.0000
Tl 1.5550 0.0000 2.7008
Tl 0.0000 2.2992 4.5289
Sb 0.0000 0.0000 7.2297

***

ii) comes first in stability; the runner-up is 356 meV per atom higher.

***

i) 4
Lattice="5.3286 0.0000 0.0000 0.0000 1.7980 6.2823 0.0000 -1.7980 6.2823" Properties=species:S:1:pos:R:3 comment="LaY2Tl meta-GGA SCAN single point on PBEsol structure" spacegroup="Amm2, No. 38" dos_ef_per_ev_fu=4.4 pbc="T T T"
La 0.0000 0.0000 0.0000
Y 0.0000 0.0000 3.3931
Y 2.6643 0.0000 8.4070
Tl 2.6643 0.0000 5.0398

***

ii) 4
Lattice="-1.9316 2.6473 5.8364 1.9316 -2.6473 5.8364 1.9316 2.6473 -5.8364" Properties=species:S:1:pos:R:3 comment="LaY2Tl meta-GGA SCAN single point on PBEsol structure" spacegroup="Imm2, No. 44" dos_ef_per_ev_fu=3.4 pbc="T T T"
La 0.0000 0.0000 0.0000
Y 0.0000 0.0000 5.1669
Y 0.0000 2.6473 2.5502
Tl 1.9316 0.0000 2.7119

***

ii) comes first in stability; the runner-up is 54 meV per atom higher.

***

i) 4
Lattice="3.4705 0.0000 0.0000 0.0000 3.4705 0.0000 0.0000 0.0000 6.9818" Properties=species:S:1:pos:R:3 comment="LiAgBr2 meta-GGA SCAN single point on PBEsol structure" spacegroup="P4/mmm, No. 123" dos_ef_per_ev_fu=0.0 pbc="T T T"
Li 0.0000 0.0000 0.0000
Ag 0.0000 0.0000 3.4909
Br 1.7352 1.7352 1.7148
Br 1.7352 1.7352 5.2670

***

ii) 4
Lattice="3.8374 0.0000 0.0000 0.0000 1.9054 6.7344 0.0000 -1.9054 6.7344" Properties=species:S:1:pos:R:3 comment="LiAgBr2 meta-GGA SCAN single point on PBEsol structure" spacegroup="Amm2, No. 38" dos_ef_per_ev_fu=0.0 pbc="T T T"
Li 0.0000 0.0000 0.0000
Ag 1.9187 0.0000 4.5445
Br 0.0000 0.0000 10.7770
Br 1.9187 0.0000 7.2458

***

ii) comes first in stability; the runner-up is 177 meV per atom higher.